(1)
The following is a DFT calculation (PBE) of a relaxed structure of HoEr4Al2.

Unit cell a=5.593 b=5.593 c=7.451 alpha=112.05 beta=112.05 gamma=90.00
Fractional positions:
Er (0.000, 0.500, 0.000)
Al (0.384, 0.384, 0.769)
Er (0.500, 0.000, 0.000)
Al (0.616, 0.616, 0.231)
Ho (0.000, 0.000, 0.000)
Er (0.750, 0.250, 0.500)
Er (0.250, 0.750, 0.500)

Output
Density of states at the Fermi level (states/eV/atom): 1.2092
Distance to the lowest polymorph of the same formula (meV per atom): 326
Energy relative to the elements (meV/atom): 302

***

(2)
The following is a DFT calculation (PBE) of a relaxed structure of Ba2ZnSbH.

Unit cell a=5.556 b=5.556 c=4.683 alpha=90.00 beta=90.00 gamma=90.00
Fractional positions:
Ba (0.000, 0.500, 0.000)
Zn (0.000, 0.000, 0.500)
Ba (0.500, 0.000, 0.000)
H (0.000, 0.000, 0.000)
Sb (0.500, 0.500, 0.500)

Output
Total energy (eV/atom): -3.049
Density of states at the Fermi level (states/eV/atom): 0.1799

***

(3)
The following is a DFT calculation (PBE) of a relaxed structure of La2In2Cl.

Unit cell a=7.897 b=7.897 c=5.107 alpha=90.00 beta=90.00 gamma=90.00
Fractional positions:
La (0.167, 0.333, 0.000)
La (0.333, 0.833, 0.000)
Cl (0.000, 0.000, 0.000)
La (0.833, 0.667, 0.000)
Cl (0.500, 0.500, 0.000)
In (0.635, 0.865, 0.500)
In (0.865, 0.365, 0.500)
In (0.135, 0.635, 0.500)
In (0.365, 0.135, 0.500)
La (0.667, 0.167, 0.000)

Output
Density of states at the Fermi level (states/eV/atom): 0.8066
Energy relative to the elements, uncorrected (meV/atom): -834

***

(4)
The following is a DFT calculation (PBE) of a relaxed structure of Li2TcO3.

Unit cell a=4.976 b=4.976 c=10.123 alpha=84.78 beta=84.78 gamma=116.93
Fractional positions:
O (0.960, 0.793, 0.618)
O (0.040, 0.207, 0.382)
Li (0.416, 0.584, 0.250)
O (0.896, 0.382, 0.862)
O (0.618, 0.104, 0.638)
Li (0.584, 0.416, 0.750)
O (0.272, 0.454, 0.638)
O (0.454, 0.272, 0.138)
O (0.207, 0.040, 0.882)
Li (0.000, 0.500, 0.500)
Li (0.500, 0.000, 0.000)
Tc (0.063, 0.937, 0.250)
O (0.728, 0.546, 0.362)
O (0.104, 0.618, 0.138)
Li (0.355, 0.189, 0.495)
O (0.793, 0.960, 0.118)
Li (0.811, 0.645, 0.005)
O (0.546, 0.728, 0.862)
Li (0.189, 0.355, 0.995)
O (0.382, 0.896, 0.362)
Tc (0.937, 0.063, 0.750)
Tc (0.228, 0.772, 0.750)
Tc (0.772, 0.228, 0.250)
Li (0.645, 0.811, 0.505)

Output
Energy relative to the elements, uncorrected (meV/atom): -1765
Distance to the lowest polymorph of the same formula (meV per atom): 0

***

(5)
The following is a DFT calculation (PBE) of a relaxed structure of La2PmSmTm5.

Unit cell a=8.653 b=8.653 c=9.935 alpha=115.82 beta=115.82 gamma=90.00
Fractional positions:
Pm (0.250, 0.250, 0.500)
La (0.383, 0.883, 0.000)
Tm (0.073, 0.573, 0.719)
Tm (0.500, 0.500, 0.000)
Tm (0.355, 0.855, 0.281)
Pm (0.750, 0.750, 0.500)
Tm (0.855, 0.927, 0.281)
La (0.117, 0.383, 0.000)
Sm (0.250, 0.750, 0.500)
La (0.617, 0.117, 0.000)
Tm (0.645, 0.145, 0.719)
Tm (0.573, 0.645, 0.719)
Tm (0.927, 0.427, 0.281)
Sm (0.750, 0.250, 0.500)
Tm (0.427, 0.355, 0.281)
La (0.883, 0.617, 0.000)
Tm (0.145, 0.073, 0.719)
Tm (0.000, 0.000, 0.000)

Output
Density of states at the Fermi level (states/eV/atom): 1.2421
Energy relative to the elements (meV/atom): 250

***

(6)
The following is a DFT calculation (PBE) of a relaxed structure of Li2HPb.

Unit cell a=3.407 b=3.407 c=8.364 alpha=78.25 beta=78.25 gamma=60.00
Fractional positions:
Li (0.933, 0.933, 0.201)
Pb (0.500, 0.500, 0.500)
H (0.000, 0.000, 0.000)
Li (0.067, 0.067, 0.799)

Output
Density of states at the Fermi level (states/eV/atom): 0.3662
Distance to the lowest polymorph of the same formula (meV per atom): 248